Material: YTh3
Method: DFT, GGA-PBE
State: relaxed

As for the energy relative to the lowest polymorph listed for this composition: 134 meV/atom. The density of states at the Fermi level is 6.52 states/eV per cell. As for the total moment: 0.0 Bohr magnetons per cell. The energy relative to the elements is 0.1785 eV/atom.

Cell: 5.686 5.686 5.686 Å, 60.00 60.00 60.00°
Element x y z (fractional)
1 Th 0.250 0.250 0.250
2 Th 0.000 0.000 0.000
3 Y 0.500 0.500 0.500
4 Th 0.750 0.750 0.750

---

Material: YTh3
Method: DFT, GGA-PBE
State: relaxed

As for the energy relative to the lowest polymorph listed for this composition: 20 meV/atom. The density of states at the Fermi level is 6.71 states/eV per cell. As for the total moment: 0.0 Bohr magnetons per cell. The energy relative to the elements is 0.0650 eV/atom.

Cell: 5.058 5.058 5.058 Å, 90.00 90.00 90.00°
Element x y z (fractional)
1 Th 0.500 0.000 0.500
2 Y 0.000 0.000 0.000
3 Th 0.500 0.500 0.000
4 Th 0.000 0.500 0.500

---

Material: Y8Th
Method: DFT, GGA-PBE
State: relaxed

As for the energy relative to the lowest polymorph listed for this composition: 0 meV/atom. The density of states at the Fermi level is 15.08 states/eV per cell. As for the total moment: 0.0 Bohr magnetons per cell. The energy relative to the elements is 0.0314 eV/atom.

Cell: 5.071 7.997 7.997 Å, 84.23 71.51 71.51°
Element x y z (fractional)
1 Y 0.331 0.669 0.669
2 Y 0.664 0.000 0.673
3 Y 0.000 0.669 0.331
4 Y 0.336 0.327 0.000
5 Y 0.336 0.000 0.327
6 Y 0.669 0.331 0.331
7 Y 0.000 0.331 0.669
8 Y 0.664 0.673 0.000
9 Th 0.000 0.000 0.000

---

Material: YTh3
Method: DFT, GGA-PBE
State: relaxed

As for the energy relative to the lowest polymorph listed for this composition: 13 meV/atom. The density of states at the Fermi level is 4.83 states/eV per cell. As for the total moment: 0.0 Bohr magnetons per cell. The energy relative to the elements is 0.0574 eV/atom.

Cell: 3.558 5.910 6.173 Å, 90.00 90.00 90.00°
Element x y z (fractional)
1 Th 0.500 0.500 0.833
2 Y 0.000 0.500 0.330
3 Th 0.500 0.000 0.502
4 Th 0.000 0.000 0.002

---

Material: Y3Th
Method: DFT, GGA-PBE
State: relaxed

As for the energy relative to the lowest polymorph listed for this composition: 18 meV/atom. The density of states at the Fermi level is 6.56 states/eV per cell. As for the total moment: 0.0 Bohr magnetons per cell. The energy relative to the elements is 0.0455 eV/atom.

Cell: 5.052 5.052 5.052 Å, 90.00 90.00 90.00°
Element x y z (fractional)
1 Y 0.500 0.500 0.000
2 Th 0.000 0.000 0.000
3 Y 0.500 0.000 0.500
4 Y 0.000 0.500 0.500

---

Material: Y3Th
Method: DFT, GGA-PBE
State: relaxed

As for the energy relative to the lowest polymorph listed for this composition: 28 meV/atom. The density of states at the Fermi level is 13.28 states/eV per cell. As for the total moment: 0.0 Bohr magnetons per cell. The energy relative to the elements is 0.0554 eV/atom.

Cell: 7.241 7.241 5.774 Å, 90.00 90.00 120.00°
Element x y z (fractional)
1 Th 0.667 0.333 0.250
2 Th 0.333 0.667 0.750
3 Y 0.832 0.168 0.750
4 Y 0.665 0.832 0.250
5 Y 0.168 0.832 0.250
6 Y 0.168 0.335 0.250
7 Y 0.335 0.168 0.750
8 Y 0.832 0.665 0.750

---

Material: Y3Th2
Method: DFT, GGA-PBE
State: relaxed

As for the energy relative to the lowest polymorph listed for this composition: 209 meV/atom. The density of states at the Fermi level is 16.90 states/eV per cell. As for the total moment: 0.0 Bohr magnetons per cell. The energy relative to the elements is 0.2293 eV/atom.

Cell: 6.314 6.314 9.679 Å, 111.95 111.95 81.60°
Element x y z (fractional)
1 Th 0.307 0.639 0.108
2 Y 0.099 0.099 0.000
3 Y 0.753 0.618 0.808
4 Th 0.449 0.281 0.392
5 Y 0.810 0.945 0.192
6 Y 0.868 0.503 0.308
7 Y 0.349 0.849 0.500
8 Th 0.531 0.199 0.892
9 Th 0.889 0.057 0.608
10 Y 0.195 0.560 0.692

---

Material: Y8Th
Method: DFT, GGA-PBE
State: relaxed

As for the energy relative to the lowest polymorph listed for this composition: 89 meV/atom. The density of states at the Fermi level is 18.84 states/eV per cell. As for the total moment: 0.0 Bohr magnetons per cell. The energy relative to the elements is 0.1200 eV/atom.

Cell: 3.750 9.037 9.037 Å, 87.53 78.03 78.03°
Element x y z (fractional)
1 Th 0.000 0.000 0.000
2 Y 0.666 0.334 0.334
3 Y 0.333 0.000 0.333
4 Y 0.333 0.333 0.000
5 Y 0.667 0.000 0.667
6 Y 0.667 0.667 0.000
7 Y 0.000 0.666 0.334
8 Y 0.000 0.334 0.666
9 Y 0.334 0.666 0.666

---

Material: YTh2
Method: DFT, GGA-PBE
State: relaxed

As for the energy relative to the lowest polymorph listed for this composition: 18 meV/atom. The density of states at the Fermi level is 3.92 states/eV per cell. As for the total moment: 0.0 Bohr magnetons per cell. The energy relative to the elements is 0.0417 eV/atom.

Cell: 3.575 3.575 8.010 Å, 102.89 102.89 90.00°
Element x y z (fractional)
1 Y 0.000 0.000 0.000
2 Th 0.669 0.669 0.338
3 Th 0.331 0.331 0.662

---

Material: Y3Th2
Method: DFT, GGA-PBE
State: relaxed

As for the energy relative to the lowest polymorph listed for this composition: 0 meV/atom. The density of states at the Fermi level is 7.24 states/eV per cell. As for the total moment: 0.0 Bohr magnetons per cell. The energy relative to the elements is 0.0202 eV/atom.

Cell: 3.583 3.583 14.697 Å, 83.00 83.00 60.00°
Element x y z (fractional)
1 Y 0.901 0.901 0.297
2 Y 0.099 0.099 0.703
3 Th 0.301 0.301 0.097
4 Y 0.500 0.500 0.500
5 Th 0.699 0.699 0.903

---

Material: Y5Th3
Method: DFT, GGA-PBE
State: relaxed

As for the energy relative to the lowest polymorph listed for this composition: 6 meV/atom. The density of states at the Fermi level is 14.67 states/eV per cell. As for the total moment: 0.0 Bohr magnetons per cell. The energy relative to the elements is 0.0358 eV/atom.

Cell: 3.589 5.826 12.539 Å, 90.00 90.00 90.00°
Element x y z (fractional)
1 Y 0.000 0.500 0.296
2 Y 0.000 0.000 0.459
3 Th 0.500 0.000 0.709
4 Y 0.000 0.000 0.954
5 Y 0.500 0.500 0.041
6 Y 0.500 0.000 0.206
7 Th 0.500 0.500 0.548
8 Th 0.000 0.500 0.786

---

Material: YTh3
Method: DFT, GGA-PBE
State: relaxed

As for the energy relative to the lowest polymorph listed for this composition: 33 meV/atom. The density of states at the Fermi level is 21.16 states/eV per cell. As for the total moment: 0.0 Bohr magnetons per cell. The energy relative to the elements is 0.0777 eV/atom.

Cell: 7.156 7.156 9.730 Å, 68.42 68.42 60.00°
Element x y z (fractional)
1 Th 0.781 0.276 0.667
2 Th 0.500 0.500 0.000
3 Th 0.000 0.500 0.000
4 Th 0.500 0.000 0.000
5 Th 0.724 0.219 0.333
6 Y 0.000 0.000 0.000
7 Y 0.223 0.223 0.331
8 Th 0.219 0.724 0.333
9 Th 0.276 0.781 0.667
10 Th 0.276 0.276 0.667
11 Th 0.724 0.724 0.333
12 Y 0.777 0.777 0.669

---

Material: Y3Th13
Method: DFT, GGA-PBE
State: relaxed

The density of states at the Fermi level is 21.96 states/eV per cell. As for the total moment: 0.0 Bohr magnetons per cell. The energy relative to the elements is 0.0560 eV/atom.

Cell: 7.124 8.549 8.549 Å, 92.35 90.00 90.00°
Element x y z (fractional)
1 Y 0.250 0.042 0.958
2 Th 0.000 0.708 0.793
3 Y 0.750 0.042 0.958
4 Th 0.253 0.545 0.455
5 Th 0.000 0.789 0.211
6 Th 0.500 0.205 0.291
7 Th 0.500 0.787 0.213
8 Th 0.000 0.207 0.292
9 Th 0.500 0.709 0.795
10 Th 0.747 0.545 0.455
11 Th 0.749 0.957 0.543
12 Th 0.500 0.299 0.701
13 Y 0.000 0.295 0.705
14 Th 0.251 0.457 0.043
15 Th 0.749 0.457 0.043
16 Th 0.251 0.957 0.543

---

Material: Y3Th
Method: DFT, GGA-PBE
State: relaxed

As for the energy relative to the lowest polymorph listed for this composition: 10 meV/atom. The density of states at the Fermi level is 6.95 states/eV per cell. As for the total moment: 0.0 Bohr magnetons per cell. The energy relative to the elements is 0.0375 eV/atom.

Cell: 3.630 6.255 6.791 Å, 117.42 105.50 90.00°
Element x y z (fractional)
1 Th 0.000 0.988 0.000
2 Y 0.500 0.504 0.000
3 Y 0.751 0.088 0.501
4 Y 0.249 0.587 0.499